P.
Entry from Alexandria via LeMat-Bulk: an optimized crystal structure of Li6B4O9 (PBEsol). Values from VASP.

Results
- DOS(E_F): 0.00 states/eV/atom
- Volume: 9.27 Å³ per atom

Structure (Quantum ESPRESSO input):
```
&SYSTEM
  ibrav = 0, nat = 76, ntyp = 3
/
ATOMIC_SPECIES
O 16.00 O.upf
Li 6.94 Li.upf
B 10.81 B.upf
CELL_PARAMETERS angstrom
-1.4019 2.2863 -1.9170
-5.4993 1.8462 7.0989
15.2898 15.8501 7.7224
ATOMIC_POSITIONS angstrom
O -2.7424 2.7158 4.7832
O -4.7688 2.5537 6.0553
O 7.8367 12.0041 3.8371
O -1.2600 4.1965 2.6093
O -0.3222 3.4332 0.4906
O 9.3364 15.1629 6.7368
O 5.9817 10.6041 3.5930
O 13.1574 17.4289 6.8490
O 5.7924 13.3928 10.4896
O 2.8829 6.9395 5.3819
O 7.0301 15.0564 11.6169
O 10.3921 12.4403 5.4248
O 11.1310 17.2668 8.1211
O 4.2680 10.1176 7.9020
O 4.1206 9.8650 5.0023
O 2.2826 8.0372 7.3489
O 12.2954 14.4384 6.6180
O 5.5056 13.0431 7.5224
O 0.8463 6.2989 6.5714
O 10.7378 17.4381 11.5379
O 3.5739 11.3366 9.8470
O 0.5519 7.9785 9.0672
O 6.1060 11.9454 5.5554
O 0.8568 4.8642 4.5904
O 4.8147 8.6460 3.0573
O -0.9478 4.8197 6.1675
O -2.3492 2.5444 1.3664
O 1.3585 4.9262 1.2874
O 2.4069 9.3785 9.3112
O 7.5423 13.6837 6.3329
O -2.0035 7.5423 7.4795
O -3.9068 5.5442 6.2863
O 2.5962 6.5898 2.4147
O 8.7108 16.5494 12.4137
O 7.5318 15.1184 8.3139
O 9.6486 15.7861 10.2950
Li -5.8361 4.1942 5.9306
Li 4.4231 11.2709 6.3569
Li 2.5468 5.6031 4.1016
Li 4.3860 7.2361 1.6482
Li 5.3054 11.8416 9.0341
Li 2.0812 12.4948 9.5074
Li -2.8904 3.8522 6.3959
Li 3.9655 8.7117 6.5474
Li 6.3074 7.4878 3.3969
Li 8.1453 14.6066 10.0775
Li 14.2247 15.7884 6.9737
Li 11.2790 16.1303 6.5084
Li 11.4380 16.5512 9.8995
Li 4.0026 12.7465 11.2561
Li 5.8418 14.3794 8.8027
Li 3.0832 8.1410 3.8702
Li 10.5986 13.6673 6.8715
Li 8.7679 13.3482 4.8492
Li -0.9373 3.6215 4.5023
Li -0.3793 6.6344 8.0551
Li 9.3259 16.3611 8.4020
Li -2.2101 6.3153 6.0328
Li 0.2433 5.3760 2.8268
Li -3.0494 3.4314 3.0048
B -4.0376 2.2934 4.9589
B 0.9358 4.0426 0.2977
B 8.1317 14.6890 7.1772
B 7.4528 15.9400 12.6066
B 2.0019 7.0515 6.3788
B 4.9311 9.6870 3.9459
B 3.4575 10.2956 8.9584
B 12.4262 17.6892 7.9454
B 0.2569 5.2936 5.7271
B -1.2619 3.4258 1.5093
B 5.8528 14.2303 11.5689
B 6.3867 12.9311 6.5255
B 1.7144 8.4150 8.5552
B 6.6742 11.5676 4.3491
B 2.5358 5.7523 1.3354
B 9.6505 16.5568 11.3950
```

Q.
Entry from Alexandria via LeMat-Bulk: an optimized crystal structure of Li6B4O9 (PBEsol). Values from VASP.

Results
- DOS(E_F): 0.00 states/eV/atom
- Volume: 9.86 Å³ per atom

Structure (Quantum ESPRESSO input):
```
&SYSTEM
  ibrav = 0, nat = 38, ntyp = 3
/
ATOMIC_SPECIES
O 16.00 O.upf
B 10.81 B.upf
Li 6.94 Li.upf
CELL_PARAMETERS angstrom
6.5087 -0.0177 0.0604
-1.0558 6.9462 -0.0811
-1.4912 -0.8324 8.2886
ATOMIC_POSITIONS angstrom
O 2.1184 6.6503 1.7870
O 0.7490 2.3858 4.7557
O 1.3193 3.7850 1.1342
O 1.6609 1.5033 1.4448
O 1.8433 -0.5541 6.4809
O 4.2063 1.8361 2.3504
O 3.7040 -0.2136 7.9340
O 4.2862 1.9468 4.7377
O 3.2127 3.7104 3.5122
O 2.6424 2.3112 7.1338
O -0.5360 1.5263 7.5446
O -0.3245 4.1494 3.5302
O -0.2445 4.2601 5.9175
O 5.3231 -0.2486 2.8415
O 2.3008 4.5929 6.8231
O 0.2577 6.3097 0.3340
O 4.4977 4.5699 0.7233
O -1.3613 6.3448 5.4265
B 4.2557 0.4318 2.4210
B 0.0163 3.5433 4.6897
B 1.2950 2.5529 0.5548
B 1.9323 5.9179 7.0595
B 2.6667 3.5432 7.7131
B 2.0294 0.1783 1.2084
B 3.9454 2.5529 3.5783
B -0.2939 5.6644 5.8470
Li -0.9543 -0.3270 7.3242
Li 2.8913 4.7173 1.8919
Li 1.4080 2.9647 2.9562
Li 4.5026 2.2809 0.5048
Li -0.5825 0.9225 4.3134
Li 4.9160 6.4232 0.9438
Li 1.0704 1.3789 6.3761
Li 4.2973 1.5631 6.5275
Li 4.5442 5.1737 3.9545
Li -0.5409 3.8153 7.7631
Li -0.3356 4.5331 1.7405
Li 2.5537 3.1315 5.3118
```

Most stable structure, least stable structure: P, Q.

P.
Entry from Alexandria via LeMat-Bulk: an optimized crystal structure of Li3SnB2O6 (PBEsol). Values from VASP.

Results
- DOS(E_F): 0.06 states/eV/atom
- Volume: 10.29 Å³ per atom

Structure (Quantum ESPRESSO input):
```
&SYSTEM
  ibrav = 0, nat = 48, ntyp = 4
/
ATOMIC_SPECIES
O 16.00 O.upf
Li 6.94 Li.upf
B 10.81 B.upf
Sn 118.71 Sn.upf
CELL_PARAMETERS angstrom
6.3280 0.0000 0.0000
0.0000 8.7725 -0.0482
0.0000 -4.2949 8.9197
ATOMIC_POSITIONS angstrom
O 4.4571 2.3932 4.6703
O 4.5050 -2.3305 6.1219
O 2.2116 3.7981 6.5041
O 3.5860 2.0792 0.5341
O 0.4220 0.1596 3.9016
O 0.9523 1.5593 2.0683
O 5.3756 2.9182 6.8032
O 3.5218 -0.5140 4.9129
O 4.4660 -0.0509 7.0266
O 5.0348 0.1544 0.2345
O 2.8062 4.9916 3.9586
O 0.3578 -1.5421 8.4425
O 2.7420 2.3984 8.3374
O 1.3410 0.2744 7.2335
O 5.9701 6.0197 0.4290
O 5.9060 4.3180 4.9699
O 1.2931 4.3231 8.6370
O 4.9870 4.2032 1.6380
O 1.3020 -2.0052 6.3288
O 1.8620 4.5285 1.8449
O 4.1163 0.6794 2.3675
O 5.0259 6.4828 2.5427
O 1.8708 2.0844 4.2012
O 1.8230 6.8081 2.7496
Li 5.9481 1.1716 7.3933
Li 4.9134 0.6441 4.0594
Li 1.5635 5.3801 0.1466
Li 1.4146 3.8335 4.8121
Li 4.5786 2.8828 8.4952
Li 2.7841 5.5447 5.9140
Li 3.5439 -1.0671 2.9576
Li 0.3799 3.3059 1.4782
Li 4.7645 -0.9025 8.7249
Li 1.7494 1.5947 0.3764
Li 4.7275 5.6312 4.2410
Li 1.6005 -1.1537 4.6305
B 4.1927 -0.9869 6.0402
B 1.0287 -1.0693 7.3153
B 2.1353 5.4644 2.8313
B 2.1021 3.5118 7.8399
B 1.0619 1.2730 3.4041
B 4.2258 0.9658 1.0317
B 5.2992 5.5468 1.5563
B 5.2661 3.2046 5.4674
Sn 0.2261 -0.7901 1.7453
Sn 6.1019 5.2676 7.1262
Sn 2.9379 1.4487 6.1811
Sn 3.3900 3.0288 2.6904
```

Q.
Entry from Alexandria via LeMat-Bulk: an optimized crystal structure of Li3SnB2O6 (PBEsol). Values from VASP.

Results
- DOS(E_F): 0.00 states/eV/atom
- Volume: 10.92 Å³ per atom

Structure (Quantum ESPRESSO input):
```
&SYSTEM
  ibrav = 0, nat = 24, ntyp = 4
/
ATOMIC_SPECIES
Li 6.94 Li.upf
B 10.81 B.upf
O 16.00 O.upf
Sn 118.71 Sn.upf
CELL_PARAMETERS angstrom
4.9523 -0.0124 -0.0127
0.0293 7.1546 -0.0001
0.3301 2.7947 7.3988
ATOMIC_POSITIONS angstrom
Li 4.0957 0.7893 0.4436
Li 1.6727 1.1397 1.8413
Li 1.8653 7.1559 4.5624
Li 3.4464 2.7810 2.8235
Li 1.2160 9.1476 6.9424
Li 3.6390 8.7972 5.5447
B 2.0300 4.7324 6.6032
B 0.9999 2.5340 4.2395
B 3.2817 5.2045 0.7828
B 4.3118 7.4029 3.1465
O 3.8994 4.3381 1.6927
O 1.8727 5.2125 0.8021
O 1.0235 1.1340 0.0425
O 3.5367 0.9627 2.2828
O 4.2882 8.8029 7.3434
O 1.4123 5.5987 5.6933
O 3.7920 6.9640 4.3910
O 3.4390 4.7244 6.5839
O 1.7750 8.9741 5.1031
O 0.6878 7.0510 2.8727
O 4.6239 2.8859 4.5133
O 1.5197 2.9729 2.9949
Sn 0.7719 4.8767 2.4281
Sn 4.5398 5.0601 4.9579
```

Most stable structure, least stable structure: Q, P.

P.
Entry from Alexandria via LeMat-Bulk: an optimized crystal structure of Li2SnB2O6 (PBEsol). Values from VASP.

Results
- DOS(E_F): 0.00 states/eV/atom
- Volume: 10.62 Å³ per atom

Structure (Quantum ESPRESSO input):
```
&SYSTEM
  ibrav = 0, nat = 44, ntyp = 4
/
ATOMIC_SPECIES
O 16.00 O.upf
B 10.81 B.upf
Sn 118.71 Sn.upf
Li 6.94 Li.upf
CELL_PARAMETERS angstrom
5.1828 0.0000 0.0366
0.0000 8.9124 0.0000
-0.5041 0.0000 10.1133
ATOMIC_POSITIONS angstrom
O 1.8758 3.5583 1.3156
O 2.5967 0.2902 4.1019
O 3.9293 6.0929 6.9010
O 2.0820 4.7464 6.0480
O 4.2370 3.0660 1.5784
O 4.9881 6.4674 0.8381
O 2.6083 1.3679 1.0378
O 4.7722 2.7605 6.0656
O -0.3655 4.3573 9.2123
O -0.3093 2.0112 9.3118
O 3.2013 5.8569 3.5988
O 2.0190 7.1159 5.8986
O 2.6597 2.6597 4.2514
O 0.2193 4.9171 3.4210
O 2.0704 5.8241 9.1121
O 0.7494 1.6367 3.2489
O 1.4775 1.4007 6.5511
O -0.0935 7.2167 4.0843
O 5.0442 8.8135 0.9376
O 4.4594 0.4609 6.7289
O 0.4417 7.5222 8.5715
O 1.7189 7.5649 1.7923
O 2.8029 8.0145 8.8343
O 2.9598 3.1087 8.3576
B 1.9907 1.4892 3.8503
B 1.7262 7.1357 8.8429
B 0.4768 7.6090 1.1912
B 4.5941 5.9652 3.7236
B 2.9525 2.6795 1.3070
B 2.6880 5.9454 6.2997
B 0.0846 1.5090 6.4263
B 4.2019 3.1528 8.9587
Sn 1.9000 7.3742 3.8224
Sn 0.5912 1.7535 1.2118
Sn 2.7787 2.9180 6.3275
Sn 4.0875 6.2097 8.9381
Li 2.0252 4.3111 3.3926
Li 1.5140 4.0656 9.3653
Li -0.0399 7.5229 6.1969
Li 2.6535 8.7673 6.7573
Li 4.4795 0.2506 8.6694
Li 0.1992 4.7068 1.4806
Li 4.7186 3.0667 3.9530
Li 3.1647 8.5218 0.7846
```

Q.
Entry from Alexandria via LeMat-Bulk: an optimized crystal structure of Li2SnB2O6 (PBEsol). Values from VASP.

Results
- DOS(E_F): 0.00 states/eV/atom
- Volume: 10.39 Å³ per atom

Structure (Quantum ESPRESSO input):
```
&SYSTEM
  ibrav = 0, nat = 44, ntyp = 4
/
ATOMIC_SPECIES
O 16.00 O.upf
Li 6.94 Li.upf
B 10.81 B.upf
Sn 118.71 Sn.upf
CELL_PARAMETERS angstrom
-5.0866 -2.6764 -2.8477
3.4922 -7.2156 0.5438
-5.3967 2.0941 7.6715
ATOMIC_POSITIONS angstrom
O -5.6165 -0.2818 4.2939
O -5.7884 -5.2823 1.8627
O -5.1007 -3.6662 -0.3963
O -0.4591 -0.4185 0.2056
O -3.2503 -6.6925 1.7306
O -3.3748 -3.8881 -2.0514
O -2.0319 -5.3891 0.2486
O 0.8004 -3.7344 1.8185
O -2.0197 -4.1047 5.9693
O -1.1442 -7.5610 1.0868
O -3.2232 -1.3957 2.5474
O -4.1481 -6.0747 6.6423
O -4.9982 -2.5955 4.9813
O -4.1857 -5.3863 4.3485
O 1.2796 -6.0386 2.5755
O -6.2803 -2.4099 2.3432
O -5.4836 -0.8742 6.5324
O -3.7227 -3.7911 2.2398
O -1.1522 -4.7783 3.8336
O -7.6782 -3.7585 3.6126
O -2.5534 -2.4678 0.6216
O -8.5465 -1.6591 2.6377
O -6.0785 -4.9578 5.5897
O 0.9207 -5.6143 0.3226
Li -4.5823 -8.1782 1.4405
Li -5.0698 -0.8712 2.5894
Li -3.9530 -0.8537 7.8448
Li -0.5827 -5.5036 -0.9505
Li -5.8335 -2.1021 0.3939
Li -2.7603 -5.4680 3.2372
Li -2.0842 -3.0526 -1.0250
Li -3.4223 -2.8931 6.3846
B -2.0658 -6.5520 0.9833
B -4.6083 -3.5416 -1.6964
B -5.3556 -1.2896 5.1936
B -1.3136 -3.8678 4.7888
B -7.5726 -2.5838 2.8624
B -4.8477 -5.5288 5.5545
B 1.0032 -5.0649 1.6114
B -3.1377 -2.5693 1.8711
Sn -2.5515 -0.3990 0.6385
Sn -5.4895 1.1437 5.8609
Sn -4.1113 -5.1245 0.5804
Sn -5.5671 -4.0454 3.5909
```

Most stable structure, least stable structure: P, Q.

P.
Entry from Alexandria via LeMat-Bulk: an optimized crystal structure of Li2SnB2O6 (PBEsol). Values from VASP.

Results
- DOS(E_F): 0.00 states/eV/atom
- Volume: 11.87 Å³ per atom

Structure (Quantum ESPRESSO input):
```
&SYSTEM
  ibrav = 0, nat = 22, ntyp = 4
/
ATOMIC_SPECIES
O 16.00 O.upf
B 10.81 B.upf
Li 6.94 Li.upf
Sn 118.71 Sn.upf
CELL_PARAMETERS angstrom
-2.5469 -3.2746 2.9429
4.3466 -4.9854 -1.9299
6.2380 -0.1760 4.8861
ATOMIC_POSITIONS angstrom
O 2.1062 -2.6777 5.3628
O 5.9707 -2.9052 5.1843
O 1.8576 -3.9891 3.3914
O 6.1802 -4.4469 2.5077
O 4.4980 -3.9666 6.8083
O 5.9316 -5.7583 0.5363
O 3.5398 -4.4694 -0.9092
O 2.0671 -5.5307 0.7149
O 5.3176 -5.2541 5.0805
O 3.5177 -6.5996 3.3498
O 2.7202 -3.1819 0.8186
O 4.5201 -1.8364 2.5493
B 2.7189 -4.4331 0.2076
B 5.3189 -4.0028 5.6915
B 6.0718 -4.5721 1.1041
B 1.9660 -3.8639 4.7950
Li 0.5276 -0.9535 0.9314
Li 5.5119 -6.0621 3.2958
Li 2.5259 -2.3739 2.6033
Li 7.5101 -7.4825 4.9677
Sn 1.8099 -5.8494 2.6852
Sn 6.2279 -2.5866 3.2140
```

Q.
Entry from Alexandria via LeMat-Bulk: an optimized crystal structure of Li2SnB2O6 (PBEsol). Values from VASP.

Results
- DOS(E_F): 0.00 states/eV/atom
- Volume: 10.77 Å³ per atom

Structure (Quantum ESPRESSO input):
```
&SYSTEM
  ibrav = 0, nat = 44, ntyp = 4
/
ATOMIC_SPECIES
O 16.00 O.upf
Sn 118.71 Sn.upf
Li 6.94 Li.upf
B 10.81 B.upf
CELL_PARAMETERS angstrom
-1.3798 0.7004 5.0319
6.7318 -4.8317 2.5567
5.8797 8.5109 0.9733
ATOMIC_POSITIONS angstrom
O 3.9396 5.3563 4.8718
O 2.5778 1.8411 5.0383
O 8.0004 4.9619 3.3866
O 1.1338 3.5194 4.1513
O 8.1546 1.4218 5.5492
O 3.3879 3.0637 3.2606
O 5.6331 3.7214 4.9138
O 5.8781 3.5595 1.9327
O 7.3462 -0.9273 3.5922
O 10.1052 0.7645 4.2614
O 5.9596 0.9184 3.7406
O 5.6262 1.0977 6.6104
O 8.3261 4.5695 6.1529
O 9.9609 3.5029 7.4114
O 1.1723 0.5210 1.0288
O 3.2526 -0.8288 5.1232
O 0.7240 0.2929 3.4137
O 10.3076 3.6031 5.0672
O 5.3547 -1.6101 5.8848
O 6.2513 6.8396 6.3031
O 6.0008 6.1158 3.1092
O 8.5806 2.2584 3.2995
O 4.8527 -2.6582 2.2395
O 2.7282 -0.5633 2.3448
Sn 9.7928 4.0319 3.1981
Sn 1.4612 0.1773 5.2999
Sn 6.7654 -0.2106 5.4481
Sn 4.5511 4.6732 3.0184
Li 5.0869 7.5539 4.6397
Li 7.6049 -2.6865 2.7195
Li 6.7808 2.7372 6.3114
Li 6.7265 2.7961 3.5259
Li 4.4183 1.7529 4.5156
Li 7.0686 5.4401 5.0359
Li 3.9389 -1.4025 3.4224
Li 9.1552 1.6159 7.4620
B 2.3266 2.8479 4.1210
B 8.9615 1.4946 4.4112
B 4.0080 -1.4495 6.0931
B 1.5065 0.1212 2.3026
B 9.5503 3.8964 6.1457
B 6.7553 0.1275 2.9072
B 4.6769 4.4418 5.6185
B 7.2330 5.7538 2.5449
```

Most stable structure, least stable structure: Q, P.

P.
Entry from Alexandria via LeMat-Bulk: an optimized crystal structure of LiVBO3 (PBEsol). Values from VASP.

Results
- DOS(E_F): 0.37 states/eV/atom
- Volume: 9.60 Å³ per atom

Structure (Quantum ESPRESSO input):
```
&SYSTEM
  ibrav = 0, nat = 18, ntyp = 4
/
ATOMIC_SPECIES
O 16.00 O.upf
Li 6.94 Li.upf
V 50.94 V.upf
B 10.81 B.upf
CELL_PARAMETERS angstrom
3.1605 0.0000 0.0000
0.0000 7.9453 0.0000
0.0000 -3.9727 6.8809
ATOMIC_POSITIONS angstrom
O 0.0000 -1.1633 5.3421
O 1.5802 3.8983 5.5010
O 1.5802 2.7826 3.0331
O 1.5802 5.2081 2.9545
O 0.0000 -0.0721 3.2024
O 1.5802 3.9273 0.8933
O 1.5802 1.2322 0.6255
O 1.5802 6.7875 0.7543
O 0.0000 1.2354 5.2172
Li 1.5802 0.8939 2.5779
Li 1.5802 1.2931 6.3661
Li 1.5802 -2.1871 4.8177
V 0.0000 6.2366 1.9916
V 0.0000 3.1023 4.4053
V 0.0000 2.5791 0.4840
B 1.5802 3.9727 2.2936
B 1.5802 0.0000 0.0000
B 0.0000 0.0000 4.5872
```

Q.
Entry from Alexandria via LeMat-Bulk: an optimized crystal structure of LiVBO3 (PBEsol). Values from VASP.

Results
- DOS(E_F): 0.02 states/eV/atom
- Volume: 9.45 Å³ per atom

Structure (Quantum ESPRESSO input):
```
&SYSTEM
  ibrav = 0, nat = 12, ntyp = 4
/
ATOMIC_SPECIES
O 16.00 O.upf
V 50.94 V.upf
B 10.81 B.upf
Li 6.94 Li.upf
CELL_PARAMETERS angstrom
4.3874 -0.0062 0.0345
-2.0853 4.7069 -0.0238
-1.8393 -1.7090 5.4854
ATOMIC_POSITIONS angstrom
O 2.4532 0.3045 3.5043
O -1.9905 2.6871 1.9918
O -0.2498 3.5577 0.6302
O 0.2890 0.3969 1.5999
O 0.1738 2.5947 3.8962
O 0.7125 -0.5661 4.8659
V -2.0643 2.3166 4.0944
V 2.5271 0.6750 1.4017
B 1.8770 -0.7836 4.1289
B -1.4142 3.7752 1.3672
Li -0.0432 0.6368 3.6455
Li 0.5059 2.3548 1.8506
```

Most stable structure, least stable structure: P, Q.